The following is a DFT calculation (PBE+U) of LaFe4Bi3O12 after structural relaxation.

Summary:
Calculated total energy = -131.1 eV/f.u.
SG = Pm, No. 6

Cell: 5.5135 7.9105 5.7170 Å, 90.00 90.42 90.00°
Element x y z (fractional)
La 0.0000 0.0000 0.0000
Fe 0.4870 0.2508 0.9517
Fe 0.4870 0.7492 0.9517
Fe 0.9891 0.2515 0.4531
Fe 0.9891 0.7485 0.4531
Bi 0.4787 0.0000 0.5036
Bi 0.4967 0.5000 0.4012
Bi 0.9773 0.5000 0.9008
O 0.0867 0.5000 0.4795
O 0.1862 0.2066 0.7502
O 0.1862 0.7934 0.7502
O 0.2889 0.1999 0.2514
O 0.2889 0.8001 0.2514
O 0.3886 0.5000 0.9853
O 0.5712 0.0000 0.9262
O 0.6851 0.2979 0.6518
O 0.6851 0.7021 0.6518
O 0.7931 0.2972 0.1497
O 0.7931 0.7028 0.1497
O 0.8898 0.0000 0.4263